DFT (PBEsol) results for CuMoAs2 after structural relaxation.

a = 3.476 Å, b = 4.524 Å, c = 7.464 Å
α = 90.00°, β = 90.00°, γ = 90.00°
Space group Immm (No. 71)
One atom of each set of equivalent atoms:
Cu 0.000 0.000 0.000 (multiplicity 2)
Mo 0.000 0.000 0.500 (multiplicity 2)
As 0.000 0.500 0.273 (multiplicity 4)

Computed properties:
theoretical density = 8751 kg/m³
ΔH_f (0 K) = 0.5 eV/f.u.

DFT (PBEsol) results for Ho5Ge2Sb2 after structural relaxation.

a = 14.858 Å, b = 7.758 Å, c = 7.778 Å
α = 90.00°, β = 90.00°, γ = 90.00°
Space group Cmce (No. 64)
One atom of each set of equivalent atoms:
Ho 0.000 0.000 0.000 (multiplicity 4)
Ho 0.127 0.165 0.335 (multiplicity 16)
Ge 0.000 0.137 0.637 (multiplicity 8)
Sb 0.205 0.000 0.000 (multiplicity 8)

Computed properties:
theoretical density = 8989 kg/m³
ΔE_f (raw) = -1.01 eV per atom

DFT (PBEsol) results for ScBeRu2 after structural relaxation.

a = 8.379 Å, b = 2.947 Å, c = 4.692 Å
α = 90.00°, β = 110.74°, γ = 90.00°
Space group C2/m (No. 12)
One atom of each set of equivalent atoms:
Sc 0.000 0.000 0.000 (multiplicity 2)
Be 0.000 0.500 0.500 (multiplicity 2)
Ru 0.223 0.000 0.707 (multiplicity 4)

Computed properties:
theoretical density = 7849 kg/m³
ΔH_f (0 K) = -0.6 eV/f.u.

DFT (PBEsol) results for Pr3ReO7 after structural relaxation.

a = 10.995 Å, b = 7.444 Å, c = 7.566 Å
α = 90.00°, β = 90.00°, γ = 90.00°
Space group Cmcm (No. 63)
One atom of each set of equivalent atoms:
Pr 0.000 0.000 0.000 (multiplicity 4)
Pr 0.225 0.307 0.250 (multiplicity 8)
Re 0.000 0.500 0.000 (multiplicity 4)
O 0.000 0.450 0.250 (multiplicity 4)
O 0.125 0.311 0.534 (multiplicity 16)
O 0.130 0.028 0.250 (multiplicity 8)

Computed properties:
theoretical density = 7733 kg/m³
ΔE_f (raw) = -2.80 eV per atom

DFT (PBEsol) results for Na2SI after structural relaxation.

a = 7.311 Å, b = 7.311 Å, c = 7.311 Å
α = 90.00°, β = 90.00°, γ = 90.00°
Space group Fm-3m (No. 225)
One atom of each set of equivalent atoms:
Na 0.250 0.250 0.250 (multiplicity 8)
S 0.000 0.000 0.000 (multiplicity 4)
I 0.000 0.000 0.500 (multiplicity 4)

Computed properties:
theoretical density = 3483 kg/m³
ΔE_f (raw) = -0.68 eV per atom

DFT (PBEsol) results for Co5Cu after structural relaxation.

a = 9.076 Å, b = 2.462 Å, c = 5.830 Å
α = 90.00°, β = 105.15°, γ = 90.00°
Space group Cm (No. 8)
One atom of each set of equivalent atoms:
Co 0.000 0.000 0.000 (multiplicity 2)
Co 0.053 0.000 0.615 (multiplicity 2)
Co 0.162 0.500 0.337 (multiplicity 2)
Co 0.217 0.500 0.938 (multiplicity 2)
Co 0.330 0.000 0.670 (multiplicity 2)
Cu 0.384 0.000 0.276 (multiplicity 2)

Computed properties:
theoretical density = 9462 kg/m³
ΔH_f (0 K) = 0.4 eV/f.u.

DFT (PBEsol) results for Ba2CrHg after structural relaxation.

a = 7.812 Å, b = 7.812 Å, c = 7.812 Å
α = 90.00°, β = 90.00°, γ = 90.00°
Space group F-43m (No. 216)
One atom of each set of equivalent atoms:
Ba 0.000 0.000 0.000 (multiplicity 4)
Ba 0.250 0.250 0.250 (multiplicity 4)
Cr 0.250 0.250 0.750 (multiplicity 4)
Hg 0.000 0.000 0.500 (multiplicity 4)

Computed properties:
theoretical density = 7345 kg/m³
ΔH_f (0 K) = 1.1 eV/f.u.

DFT (PBEsol) results for K2SbMoN after structural relaxation.

a = 6.731 Å, b = 6.731 Å, c = 5.190 Å
α = 90.00°, β = 90.00°, γ = 90.00°
Space group P4/mmm (No. 123)
One atom of each set of equivalent atoms:
K 0.000 0.500 0.000 (multiplicity 2)
Sb 0.000 0.000 0.000 (multiplicity 1)
Mo 0.000 0.000 0.500 (multiplicity 1)
N 0.500 0.500 0.500 (multiplicity 1)

Computed properties:
theoretical density = 2189 kg/m³
ΔE_f (raw) = 1.57 eV per atom

DFT (PBEsol) results for K2NaAsF6 after structural relaxation.

a = 8.518 Å, b = 8.518 Å, c = 8.518 Å
α = 90.00°, β = 90.00°, γ = 90.00°
Space group Fm-3m (No. 225)
One atom of each set of equivalent atoms:
K 0.250 0.250 0.250 (multiplicity 8)
Na 0.000 0.000 0.000 (multiplicity 4)
As 0.000 0.000 0.500 (multiplicity 4)
F 0.000 0.000 0.260 (multiplicity 24)

Computed properties:
theoretical density = 3118 kg/m³
ΔE_f (raw) = -2.55 eV per atom

DFT (PBEsol) results for YAg2Rh after structural relaxation.

a = 4.210 Å, b = 4.210 Å, c = 8.036 Å
α = 90.00°, β = 90.00°, γ = 90.00°
Space group I-4m2 (No. 119)
One atom of each set of equivalent atoms:
Y 0.000 0.000 0.000 (multiplicity 2)
Ag 0.000 0.000 0.500 (multiplicity 2)
Ag 0.000 0.500 0.750 (multiplicity 2)
Rh 0.000 0.500 0.250 (multiplicity 2)

Computed properties:
theoretical density = 9501 kg/m³
ΔH_f (0 K) = -1.3 eV/f.u.

DFT (PBEsol) results for TiNbSbO6 after structural relaxation.

a = 4.851 Å, b = 5.522 Å, c = 8.602 Å
α = 91.47°, β = 106.24°, γ = 90.95°
Space group P-1 (No. 2)
One atom of each set of equivalent atoms:
Ti 0.071 0.325 0.153 (multiplicity 2)
Nb 0.410 0.181 0.847 (multiplicity 2)
Sb 0.296 0.743 0.503 (multiplicity 2)
O 0.098 0.919 0.772 (multiplicity 2)
O 0.166 0.430 0.769 (multiplicity 2)
O 0.221 0.649 0.059 (multiplicity 2)
O 0.336 0.151 0.063 (multiplicity 2)
O 0.352 0.419 0.361 (multiplicity 2)
O 0.488 0.082 0.635 (multiplicity 2)

Computed properties:
theoretical density = 5386 kg/m³
ΔE_f (raw) = -2.39 eV per atom

DFT (PBEsol) results for CaTe2Se after structural relaxation.

a = 4.5794 Å, b = 4.5794 Å, c = 19.5811 Å
α = 90.00°, β = 90.00°, γ = 120.00°
Space group R-3m (No. 166, hexagonal axes)
One atom of each set of equivalent atoms:
Ca 0.0000 0.0000 0.0000 (multiplicity 3)
Te 0.0000 0.0000 0.2446 (multiplicity 6)
Se 0.0000 0.0000 0.5000 (multiplicity 3)

Computed properties:
theoretical density = 5242 kg/m³
ΔE_f (raw) = -0.36 eV per atom

DFT (PBEsol) results for Li2AgAu after structural relaxation.

a = 3.017 Å, b = 3.270 Å, c = 5.972 Å
α = 90.00°, β = 90.00°, γ = 90.00°
Space group Pmmm (No. 47)
One atom of each set of equivalent atoms:
Li 0.000 0.000 0.239 (multiplicity 2)
Ag 0.500 0.500 0.500 (multiplicity 1)
Au 0.500 0.500 0.000 (multiplicity 1)

Computed properties:
theoretical density = 8982 kg/m³
ΔH_f (0 K) = -1.4 eV/f.u.

DFT (PBEsol) results for LaCo4Te after structural relaxation.

a = 7.156 Å, b = 7.156 Å, c = 7.156 Å
α = 90.00°, β = 90.00°, γ = 90.00°
Space group F-43m (No. 216)
One atom of each set of equivalent atoms:
La 0.000 0.000 0.000 (multiplicity 4)
Co 0.125 0.125 0.375 (multiplicity 16)
Te 0.250 0.250 0.750 (multiplicity 4)

Computed properties:
theoretical density = 9102 kg/m³
ΔE_f (raw) = 0.07 eV per atom

DFT (PBEsol) results for LiTe2Se after structural relaxation.

a = 4.604 Å, b = 3.721 Å, c = 6.038 Å
α = 90.00°, β = 98.35°, γ = 90.00°
Space group P2/m (No. 10)
One atom of each set of equivalent atoms:
Li 0.000 0.000 0.000 (multiplicity 1)
Te 0.374 0.500 0.764 (multiplicity 2)
Se 0.000 0.000 0.500 (multiplicity 1)

Computed properties:
theoretical density = 5534 kg/m³
ΔE_f (raw) = -0.23 eV per atom

DFT (PBEsol) results for InTe2P after structural relaxation.

a = 4.1291 Å, b = 4.1291 Å, c = 21.0721 Å
α = 90.00°, β = 90.00°, γ = 120.00°
Space group R3m (No. 160, hexagonal axes)
One atom of each set of equivalent atoms:
In 0.0000 0.0000 0.0000 (multiplicity 3)
Te 0.0000 0.0000 0.5238 (multiplicity 3)
Te 0.0000 0.0000 0.7482 (multiplicity 3)
P 0.0000 0.0000 0.2539 (multiplicity 3)

Computed properties:
theoretical density = 6420 kg/m³
ΔE_f (raw) = 0.03 eV per atom

DFT (PBEsol) results for BaTe2Se after structural relaxation.

a = 7.838 Å, b = 7.838 Å, c = 7.838 Å
α = 90.00°, β = 90.00°, γ = 90.00°
Space group F-43m (No. 216)
One atom of each set of equivalent atoms:
Ba 0.000 0.000 0.000 (multiplicity 4)
Te 0.000 0.000 0.500 (multiplicity 4)
Te 0.250 0.250 0.750 (multiplicity 4)
Se 0.250 0.250 0.250 (multiplicity 4)

Computed properties:
theoretical density = 6504 kg/m³
ΔE_f (raw) = -0.53 eV per atom

DFT (PBEsol) results for SrSN2F after structural relaxation.

a = 4.995 Å, b = 4.995 Å, c = 5.857 Å
α = 90.00°, β = 90.00°, γ = 90.00°
Space group P4/mmm (No. 123)
One atom of each set of equivalent atoms:
Sr 0.000 0.000 0.000 (multiplicity 1)
S 0.000 0.000 0.500 (multiplicity 1)
N 0.000 0.500 0.000 (multiplicity 2)
F 0.500 0.500 0.500 (multiplicity 1)

Computed properties:
theoretical density = 1894 kg/m³
ΔE_f (raw) = 1.49 eV per atom

DFT (PBEsol) results for HfHO2 after structural relaxation.

a = 8.932 Å, b = 8.932 Å, c = 8.932 Å
α = 90.00°, β = 90.00°, γ = 90.00°
Space group Fd-3m (No. 227, origin choice 2)
One atom of each set of equivalent atoms:
Hf 0.125 0.125 0.125 (multiplicity 8)
H 0.125 0.125 0.625 (multiplicity 8)
O 0.000 0.000 0.000 (multiplicity 16)

Computed properties:
theoretical density = 3943 kg/m³
E_tot = -7.9154 eV per atom

DFT (PBEsol) results for Th2Pd after structural relaxation.

a = 7.256 Å, b = 7.256 Å, c = 5.812 Å
α = 90.00°, β = 90.00°, γ = 90.00°
Space group I4/mcm (No. 140)
One atom of each set of equivalent atoms:
Th 0.161 0.339 0.000 (multiplicity 8)
Pd 0.000 0.000 0.250 (multiplicity 4)

Computed properties:
theoretical density = 12382 kg/m³
ΔH_f (0 K) = -1.5 eV/f.u.

DFT (PBEsol) results for BaYSc after structural relaxation.

a = 7.465 Å, b = 7.465 Å, c = 7.465 Å
α = 90.00°, β = 90.00°, γ = 90.00°
Space group F-43m (No. 216)
One atom of each set of equivalent atoms:
Ba 0.000 0.000 0.000 (multiplicity 4)
Y 0.250 0.250 0.250 (multiplicity 4)
Sc 0.250 0.250 0.750 (multiplicity 4)

Computed properties:
theoretical density = 4330 kg/m³
ΔH_f (0 K) = 3.1 eV/f.u.

DFT (PBEsol) results for K2BaIr after structural relaxation.

a = 4.674 Å, b = 4.674 Å, c = 11.205 Å
α = 90.00°, β = 90.00°, γ = 90.00°
Space group I4/mmm (No. 139)
One atom of each set of equivalent atoms:
K 0.000 0.500 0.250 (multiplicity 4)
Ba 0.000 0.000 0.000 (multiplicity 2)
Ir 0.000 0.000 0.500 (multiplicity 2)

Computed properties:
theoretical density = 5532 kg/m³
ΔH_f (0 K) = 2.4 eV/f.u.

DFT (PBEsol) results for TaCuPt after structural relaxation.

a = 2.8072 Å, b = 2.8072 Å, c = 6.5737 Å
α = 90.00°, β = 90.00°, γ = 120.00°
Space group P3m1 (No. 156)
One atom of each set of equivalent atoms:
Ta 0.0000 0.0000 0.0000 (multiplicity 1)
Cu 0.3333 0.6667 0.6649 (multiplicity 1)
Pt 0.6667 0.3333 0.3401 (multiplicity 1)

Computed properties:
theoretical density = 16270 kg/m³
ΔH_f (0 K) = -0.3 eV/f.u.

DFT (PBEsol) results for ReRu after structural relaxation.

a = 9.860 Å, b = 2.721 Å, c = 4.727 Å
α = 90.00°, β = 118.61°, γ = 90.00°
Space group C2/m (No. 12)
One atom of each set of equivalent atoms:
Re 0.124 0.000 0.288 (multiplicity 4)
Ru 0.124 0.500 0.793 (multiplicity 4)

Computed properties:
theoretical density = 17137 kg/m³
ΔH_f (0 K) = -0.1 eV/f.u.

DFT (PBEsol) results for Zr3Sc2 after structural relaxation.

a = 10.370 Å, b = 14.873 Å, c = 5.835 Å
α = 90.00°, β = 90.00°, γ = 90.00°
Space group Fdd2 (No. 43)
One atom of each set of equivalent atoms:
Zr 0.000 0.000 0.000 (multiplicity 8)
Zr 0.055 0.397 0.060 (multiplicity 16)
Sc 0.041 0.303 0.579 (multiplicity 16)

Computed properties:
theoretical density = 5367 kg/m³
ΔH_f (0 K) = 0.4 eV/f.u.

DFT (PBEsol) results for Ba2HgRuCl after structural relaxation.

a = 5.763 Å, b = 5.763 Å, c = 5.415 Å
α = 90.00°, β = 90.00°, γ = 90.00°
Space group P4/mmm (No. 123)
One atom of each set of equivalent atoms:
Ba 0.000 0.500 0.000 (multiplicity 2)
Hg 0.000 0.000 0.500 (multiplicity 1)
Ru 0.500 0.500 0.500 (multiplicity 1)
Cl 0.000 0.000 0.000 (multiplicity 1)

Computed properties:
theoretical density = 5648 kg/m³
ΔE_f (raw) = 0.28 eV per atom